[1]
The following is a DFT calculation (PBE) of a geometry-optimized Ho2CrGe3Pt4 structure.

a b c (Å): 4.0817 4.0817 11.0816
angles (deg): 90.00 90.00 90.00
Last column: nearest neighbours and their distance in Å.
Space group P-4m2 (No. 115)
One atom of each set of equivalent atoms:
1 Ho 0.0000 0.5000 0.2443 (multiplicity 2)  6 Ge 3.12-3.49, 8 Pt 3.14-3.39, 2 Cr 3.49
2 Cr 0.0000 0.0000 0.5000 (multiplicity 1)  4 Pt 2.59, 4 Ge 2.89
3 Ge 0.0000 0.5000 0.8623 (multiplicity 2)  5 Pt 2.42-2.55
4 Ge 0.5000 0.5000 0.5000 (multiplicity 1)  4 Pt 2.59, 4 Cr 2.89
5 Pt 0.0000 0.0000 0.0000 (multiplicity 1)  4 Ge 2.55
6 Pt 0.0000 0.5000 0.6438 (multiplicity 2)  3 Ge 2.42-2.59, 2 Cr 2.59
7 Pt 0.5000 0.5000 0.0000 (multiplicity 1)  4 Ge 2.55

Values from the calculation:
DOS at the Fermi energy = 8.23 states/eV/f.u.
E = -6.45 eV/atom
ΔH_f (0 K) = -0.767 eV per atom



[2]
The following is a DFT calculation (PBE) of a geometry-optimized CrGeI2 structure.

a b c (Å): 7.0972 7.0972 7.0972
angles (deg): 90.00 90.00 90.00
Last column: nearest neighbours and their distance in Å.
Space group Fm-3m (No. 225)
One atom of each set of equivalent atoms:
1 Cr 0.0000 0.0000 0.0000 (multiplicity 4)  8 I 3.07
2 Ge 0.0000 0.0000 0.5000 (multiplicity 4)  8 I 3.07
3 I 0.2500 0.2500 0.2500 (multiplicity 8)  4 Ge 3.07, 4 Cr 3.07

Values from the calculation:
excess energy over the best structure of this formula in the dataset = 585 meV/atom
formation energy without anion corrections = 3.91 eV/f.u.
DOS at the Fermi energy = 10.00 states/eV/f.u.
E = -3.36 eV/atom



[3]
The following is a DFT calculation (PBE) of a geometry-optimized CrGe3I structure.

a b c (Å): 4.8214 4.8214 4.8214
angles (deg): 90.00 90.00 90.00
Last column: nearest neighbours and their distance in Å.
Space group Pm-3m (No. 221)
One atom of each set of equivalent atoms:
1 Cr 0.0000 0.0000 0.0000 (multiplicity 1)  6 Ge 2.41
2 Ge 0.0000 0.0000 0.5000 (multiplicity 3)  2 Cr 2.41
3 I 0.5000 0.5000 0.5000 (multiplicity 1)  12 Ge 3.41

Values from the calculation:
excess energy over the best structure of this formula in the dataset = 0 meV/atom
formation energy without anion corrections = 1.22 eV/f.u.
DOS at the Fermi energy = 3.67 states/eV/f.u.
E = -4.76 eV/atom



The highest E belongs to which entry?
CrGeI2



Which formula does entry 1 have?
Ho2CrGe3Pt4



Which value of E does entry 2 give?
-3.36 eV/atom



Repeat the second record exactly.
The following is a DFT calculation (PBE) of a geometry-optimized CrGeI2 structure.

a b c (Å): 7.0972 7.0972 7.0972
angles (deg): 90.00 90.00 90.00
Last column: nearest neighbours and their distance in Å.
Space group Fm-3m (No. 225)
One atom of each set of equivalent atoms:
1 Cr 0.0000 0.0000 0.0000 (multiplicity 4)  8 I 3.07
2 Ge 0.0000 0.0000 0.5000 (multiplicity 4)  8 I 3.07
3 I 0.2500 0.2500 0.2500 (multiplicity 8)  4 Ge 3.07, 4 Cr 3.07

Values from the calculation:
excess energy over the best structure of this formula in the dataset = 585 meV/atom
formation energy without anion corrections = 3.91 eV/f.u.
DOS at the Fermi energy = 10.00 states/eV/f.u.
E = -3.36 eV/atom